1.
! Sm5DyAg6 | the Alexandria database | PBE | relaxed; values from VASP
! **Space-group type**: P2/m, No. 10
! **Calculated volume**: 304.1 Å³/cell
! **Final energy**: -0.299 Ry per atom
&SYSTEM
  ibrav = 0, nat = 12, ntyp = 3
/
ATOMIC_SPECIES
Sm 150.36 Sm.upf
Dy 162.50 Dy.upf
Ag 107.87 Ag.upf
ATOMIC_POSITIONS crystal
Sm 0.000 0.000 0.000
Sm 0.332 0.000 0.665
Sm 0.334 0.500 0.668
Sm 0.666 0.500 0.332
Sm 0.668 0.000 0.335
Dy 0.000 0.500 0.000
Ag 0.164 0.253 0.329
Ag 0.164 0.747 0.329
Ag 0.500 0.256 0.000
Ag 0.500 0.744 0.000
Ag 0.836 0.253 0.671
Ag 0.836 0.747 0.671
CELL_PARAMETERS angstrom
5.258 0.000 0.000
0.000 7.324 0.000
-2.578 0.000 7.896


2.
! ThAgSn2 | the Alexandria database | PBE | relaxed; values from VASP
! **Space-group type**: P4/mmm, No. 123
! **Calculated volume**: 101.4 Å³/cell
! **Final energy**: -0.349 Ry per atom
&SYSTEM
  ibrav = 0, nat = 4, ntyp = 3
/
ATOMIC_SPECIES
Th 232.04 Th.upf
Ag 107.87 Ag.upf
Sn 118.71 Sn.upf
ATOMIC_POSITIONS crystal
Th 0.000 0.000 0.000
Ag 0.000 0.000 0.500
Sn 0.500 0.500 0.291
Sn 0.500 0.500 0.709
CELL_PARAMETERS angstrom
3.727 0.000 0.000
0.000 3.727 0.000
0.000 0.000 7.301


3.
! ErTi4Ir5 | the Alexandria database | PBE | relaxed; values from VASP
! **Space-group type**: P4/mmm, No. 123
! **Calculated volume**: 160.3 Å³/cell
! **Final energy**: -0.652 Ry per atom
&SYSTEM
  ibrav = 0, nat = 10, ntyp = 3
/
ATOMIC_SPECIES
Er 167.26 Er.upf
Ti 47.87 Ti.upf
Ir 192.22 Ir.upf
ATOMIC_POSITIONS crystal
Er 0.000 0.000 0.000
Ti 0.000 0.000 0.216
Ti 0.000 0.000 0.406
Ti 0.000 0.000 0.594
Ti 0.000 0.000 0.784
Ir 0.500 0.500 0.128
Ir 0.500 0.500 0.315
Ir 0.500 0.500 0.500
Ir 0.500 0.500 0.685
Ir 0.500 0.500 0.872
CELL_PARAMETERS angstrom
3.103 0.000 0.000
0.000 3.103 0.000
0.000 0.000 16.650


4.
! Li6SnPb2 | the Alexandria database | PBE | relaxed; values from VASP
! **Space-group type**: C2/m, No. 12
! **Calculated volume**: 177.8 Å³/cell
! **Final energy**: -0.211 Ry per atom
&SYSTEM
  ibrav = 0, nat = 9, ntyp = 3
/
ATOMIC_SPECIES
Li 6.94 Li.upf
Sn 118.71 Sn.upf
Pb 207.20 Pb.upf
ATOMIC_POSITIONS crystal
Li 0.170 0.500 0.002
Li 0.170 0.830 0.000
Li 0.500 0.170 0.002
Li 0.500 0.830 0.998
Li 0.830 0.170 0.000
Li 0.830 0.500 0.998
Sn 0.500 0.500 0.500
Pb 0.167 0.167 0.500
Pb 0.833 0.833 0.500
CELL_PARAMETERS angstrom
7.087 -4.093 0.000
7.087 4.093 0.000
-0.028 0.000 3.065


5.
! ScIBr3 | the Alexandria database | PBE | relaxed; values from VASP
! **Space-group type**: Pm-3m, No. 221
! **Formation energy (no corrections)**: -954 meV/atom
! **Calculated volume**: 155.8 Å³/cell
&SYSTEM
  ibrav = 0, nat = 5, ntyp = 3
/
ATOMIC_SPECIES
Sc 44.96 Sc.upf
I 126.90 I.upf
Br 79.90 Br.upf
ATOMIC_POSITIONS crystal
Sc 0.000 0.000 0.000
I 0.500 0.500 0.500
Br 0.000 0.000 0.500
Br 0.000 0.500 0.000
Br 0.500 0.000 0.000
CELL_PARAMETERS angstrom
5.381 0.000 0.000
0.000 5.381 0.000
0.000 0.000 5.381


6.
! NdY6Tm5 | the Alexandria database | PBE | relaxed; values from VASP
! **Space-group type**: C2/m, No. 12
! **Calculated volume**: 378.0 Å³/cell
! **Final energy**: -0.402 Ry per atom
&SYSTEM
  ibrav = 0, nat = 12, ntyp = 3
/
ATOMIC_SPECIES
Nd 144.24 Nd.upf
Y 88.91 Y.upf
Tm 168.93 Tm.upf
ATOMIC_POSITIONS crystal
Nd 0.000 0.000 0.000
Y 0.084 0.418 0.252
Y 0.250 0.250 0.748
Y 0.418 0.084 0.252
Y 0.582 0.916 0.748
Y 0.750 0.750 0.252
Y 0.916 0.582 0.748
Tm 0.167 0.833 0.500
Tm 0.333 0.667 0.000
Tm 0.500 0.500 0.500
Tm 0.667 0.333 0.000
Tm 0.833 0.167 0.500
CELL_PARAMETERS angstrom
3.071 -5.313 0.000
3.071 5.313 0.000
-2.038 0.000 11.583


7.
! ScTiZn3 | the Alexandria database | PBE | relaxed; values from VASP
! **Space-group type**: Pm-3m, No. 221
! **Calculated volume**: 110.4 Å³/cell
! **Final energy**: -0.223 Ry per atom
&SYSTEM
  ibrav = 0, nat = 5, ntyp = 3
/
ATOMIC_SPECIES
Sc 44.96 Sc.upf
Ti 47.87 Ti.upf
Zn 65.41 Zn.upf
ATOMIC_POSITIONS crystal
Sc 0.000 0.000 0.000
Ti 0.500 0.500 0.500
Zn 0.000 0.500 0.500
Zn 0.500 0.000 0.500
Zn 0.500 0.500 0.000
CELL_PARAMETERS angstrom
4.797 0.000 0.000
0.000 4.797 0.000
0.000 0.000 4.797


8.
! Li3SbF9 | the Alexandria database | PBE | relaxed; values from VASP
! **Space-group type**: C2/c, No. 15
! **Formation energy (no corrections)**: -2387 meV/atom
! **Calculated volume**: 451.1 Å³/cell
&SYSTEM
  ibrav = 0, nat = 26, ntyp = 3
/
ATOMIC_SPECIES
Li 6.94 Li.upf
Sb 121.76 Sb.upf
F 19.00 F.upf
ATOMIC_POSITIONS crystal
Li 0.007 0.993 0.750
Li 0.301 0.495 0.815
Li 0.495 0.301 0.315
Li 0.505 0.699 0.685
Li 0.699 0.505 0.185
Li 0.993 0.007 0.250
Sb 0.000 0.500 0.000
Sb 0.500 0.000 0.500
F 0.050 0.750 0.082
F 0.103 0.409 0.826
F 0.116 0.724 0.745
F 0.250 0.950 0.418
F 0.268 0.374 0.126
F 0.276 0.884 0.755
F 0.374 0.268 0.626
F 0.409 0.103 0.326
F 0.500 0.500 0.000
F 0.500 0.500 0.500
F 0.591 0.897 0.674
F 0.626 0.732 0.374
F 0.724 0.116 0.245
F 0.732 0.626 0.874
F 0.750 0.050 0.582
F 0.884 0.276 0.255
F 0.897 0.591 0.174
F 0.950 0.250 0.918
CELL_PARAMETERS angstrom
6.800 -3.975 0.000
6.800 3.975 0.000
-5.224 0.000 8.344


9.
! Ag3BH | the Alexandria database | PBE | relaxed; values from VASP
! **Space-group type**: Pm-3m, No. 221
! **Calculated volume**: 66.8 Å³/cell
! **Final energy**: -0.208 Ry per atom
&SYSTEM
  ibrav = 0, nat = 5, ntyp = 3
/
ATOMIC_SPECIES
Ag 107.87 Ag.upf
B 10.81 B.upf
H 1.01 H.upf
ATOMIC_POSITIONS crystal
Ag 0.000 0.000 0.500
Ag 0.000 0.500 0.000
Ag 0.500 0.000 0.000
B 0.500 0.500 0.500
H 0.000 0.000 0.000
CELL_PARAMETERS angstrom
4.057 0.000 0.000
0.000 4.057 0.000
0.000 0.000 4.057


10.
! CsKAl2 | the Alexandria database | PBE | relaxed; values from VASP
! **Space-group type**: Fm-3m, No. 225
! **Calculated volume**: 158.8 Å³/cell
! **Final energy**: -0.126 Ry per atom
&SYSTEM
  ibrav = 0, nat = 4, ntyp = 3
/
ATOMIC_SPECIES
Cs 132.91 Cs.upf
K 39.10 K.upf
Al 26.98 Al.upf
ATOMIC_POSITIONS crystal
Cs 0.000 0.000 0.000
K 0.500 0.500 0.500
Al 0.250 0.250 0.250
Al 0.750 0.750 0.750
CELL_PARAMETERS angstrom
0.000 4.298 4.298
4.298 0.000 4.298
4.298 4.298 0.000


11.
! Si2MoAs | the Alexandria database | PBE | relaxed; values from VASP
! **Space-group type**: R3m, No. 160
! **Formation energy (no corrections)**: 256 meV/atom
! **Calculated volume**: 68.5 Å³/cell
&SYSTEM
  ibrav = 0, nat = 4, ntyp = 3
/
ATOMIC_SPECIES
Si 28.09 Si.upf
Mo 95.94 Mo.upf
As 74.92 As.upf
ATOMIC_POSITIONS crystal
Si 0.000 0.000 0.000
Si 0.255 0.255 0.255
Mo 0.737 0.737 0.737
As 0.477 0.477 0.477
CELL_PARAMETERS angstrom
1.475 0.852 9.079
-1.475 0.852 9.079
0.000 -1.704 9.079


Number 1: total moment 0.0 μB per formula unit. Number 2: total moment 0.0 μB per formula unit. Number 3: total moment 0.0 μB per formula unit. Number 4: total moment 0.0 μB per formula unit. Number 5: total moment 1.0 μB per formula unit. Number 6: total moment 0.0 μB per formula unit. Number 7: total moment 2.1 μB per formula unit. Number 8: total moment 1.0 μB per formula unit. Number 9: total moment 0.0 μB per formula unit. Number 10: total moment 0.0 μB per formula unit. Number 11: total moment 0.0 μB per formula unit.